First-principles (GGA-PBE) data for a relaxed structure of Sr2In5Rh3, as listed in Alexandria.

a b c (Å): 4.572 7.484 13.674
angles (deg): 90.00 99.62 90.00
Positions (direct):
Sr 0.474 0.775 0.949
Sr 0.174 0.712 0.348
Sr 0.826 0.212 0.652
Sr 0.526 0.275 0.051
In 0.403 0.398 0.805
In 0.289 0.506 0.578
In 0.711 0.006 0.422
In 0.127 0.247 0.254
In 0.293 0.906 0.587
In 0.948 0.106 0.895
In 0.707 0.406 0.413
In 0.873 0.747 0.746
In 0.052 0.606 0.105
In 0.597 0.898 0.195
Rh 0.770 0.702 0.541
Rh 0.610 0.525 0.219
Rh 0.049 0.988 0.097
Rh 0.230 0.202 0.459
Rh 0.951 0.488 0.903
Rh 0.390 0.025 0.781

Computed properties:
Its space-group type is No. 36. The calculation puts the total energy at -4.336 eV/atom. The magnetization is 0.0 μB/cell. The energy of formation is -425.3 meV/atom.



First-principles (GGA-PBE) data for a relaxed structure of SrIn2Rh2, as listed in Alexandria.

a b c (Å): 4.564 4.564 11.546
angles (deg): 101.40 101.40 90.00
Positions (direct):
Sr 0.636 0.636 0.271
Sr 0.364 0.364 0.729
In 0.000 0.500 0.000
In 0.187 0.187 0.374
In 0.500 0.000 0.000
In 0.813 0.813 0.626
Rh 0.750 0.250 0.500
Rh 0.934 0.934 0.868
Rh 0.066 0.066 0.132
Rh 0.250 0.750 0.500

Computed properties:
Its space-group type is No. 139. The calculation puts the total energy at -4.804 eV/atom. The magnetization is 0.0 μB/cell. The energy of formation is -432.1 meV/atom.



First-principles (GGA-PBE) data for a relaxed structure of Sr3In6Rh5, as listed in Alexandria.

a b c (Å): 4.488 10.083 13.842
angles (deg): 90.00 90.00 90.00
Positions (direct):
Sr 0.000 0.249 0.696
Sr 0.500 0.751 0.196
Sr 0.500 0.751 0.804
Sr 0.000 0.273 0.000
Sr 0.500 0.727 0.500
Sr 0.000 0.249 0.304
In 0.000 0.981 0.844
In 0.500 0.019 0.656
In 0.500 0.414 0.818
In 0.500 0.592 0.000
In 0.000 0.408 0.500
In 0.000 0.586 0.682
In 0.000 0.586 0.318
In 0.500 0.968 0.000
In 0.000 0.981 0.156
In 0.500 0.414 0.182
In 0.000 0.032 0.500
In 0.500 0.019 0.344
Rh 0.000 0.551 0.889
Rh 0.000 0.865 0.659
Rh 0.000 0.792 0.000
Rh 0.500 0.449 0.611
Rh 0.500 0.208 0.500
Rh 0.000 0.551 0.111
Rh 0.500 0.449 0.389
Rh 0.000 0.865 0.341
Rh 0.500 0.135 0.841
Rh 0.500 0.135 0.159

Computed properties:
Its space-group type is No. 59. The calculation puts the total energy at -4.589 eV/atom. The magnetization is 0.0 μB/cell. The energy of formation is -429.4 meV/atom.



First-principles (GGA-PBE) data for a relaxed structure of Sr2InRh, as listed in Alexandria.

a b c (Å): 10.872 10.872 8.120
angles (deg): 47.98 47.98 90.00
Positions (direct):
Sr 0.461 0.125 0.250
Sr 0.289 0.625 0.250
Sr 0.375 0.539 0.750
Sr 0.875 0.711 0.750
Rh 0.500 0.500 0.000
Rh 0.250 0.750 0.500
In 0.000 0.000 0.000
In 0.750 0.250 0.500

Computed properties:
Its space-group type is No. 122. The calculation puts the total energy at -3.599 eV/atom. The magnetization is 0.0 μB/cell. The energy of formation is -236.0 meV/atom.



Q: What is the formula in the fourth record?
A: Sr2InRh